Here is crystalline Na2GeMoO4 at its relaxed geometry from Alexandria via LeMat-Bulk. Energies are from PBE with a Hubbard U.

Cell and atoms, written as extended XYZ:
```
8
Lattice="-0.636 -5.055 1.375 4.442 1.986 2.043 -3.932 2.990 1.857" Properties=species:S:1:pos:R:3 pbc="T T T"
Na 2.030 -0.291 2.684
Na 0.000 0.000 0.000
Ge 0.255 2.488 1.950
Mo -2.157 0.211 2.591
O -0.245 -0.836 2.876
O -1.250 1.751 1.310
O 0.948 -3.544 2.622
O 0.294 2.471 3.743
```

Values from the calculation:
final energy: -46.10 eV per cell
magnetic moment: 4.000 μB/f.u.